1 | This record from the Alexandria database describes PrYAlPd after structural relaxation. The functional is PBE.

Values from the calculation:
Magnetic moment in μB per formula unit: 0.00

Cell lengths 4.410, 6.076, 6.076 Å; angles 38.07, 90.00, 90.00 degrees
Sites, in units of the cell vectors:
Pr1 0.000 0.000 0.000
Y1 0.500 0.707 0.707
Al1 0.500 0.412 0.412
Pd1 0.000 0.276 0.276

***

2 | This record from the Alexandria database describes PrYAlPd after structural relaxation. The functional is PBE.

Values from the calculation:
Magnetic moment in μB per formula unit: 0.00

Cell lengths 5.173, 5.173, 5.173 Å; angles 60.00, 60.00, 60.00 degrees
Sites, in units of the cell vectors:
Pr1 0.000 0.000 0.000
Y1 0.500 0.500 0.500
Al1 0.250 0.250 0.250
Pd1 0.750 0.750 0.750

***

Unit: kJ/mol of atoms. Relative energies: 1 0.0; 2 6.3.

***

1 | This record from the Alexandria database describes AlPd4Pt2 after structural relaxation. The functional is PBE.

Values from the calculation:
Magnetic moment in μB per formula unit: 0.00

Cell lengths 5.450, 5.450, 5.450 Å; angles 119.33, 118.90, 91.54 degrees
Sites, in units of the cell vectors:
Al1 0.000 0.000 0.000
Pd1 0.000 0.000 0.500
Pd2 0.000 0.500 0.000
Pd3 0.500 0.000 0.000
Pd4 0.500 0.500 0.500
Pt1 0.500 0.000 0.500
Pt2 0.500 0.500 0.000

***

2 | This record from the Alexandria database describes AlPd4Pt2 after structural relaxation. The functional is PBE.

Values from the calculation:
Magnetic moment in μB per formula unit: 0.00

Cell lengths 4.813, 4.813, 12.038 Å; angles 90.00, 90.00, 126.46 degrees
Sites, in units of the cell vectors:
Al1 0.000 0.000 0.000
Al2 0.500 0.500 0.500
Pd1 0.107 0.893 0.812
Pd2 0.234 0.766 0.582
Pd3 0.266 0.734 0.082
Pd4 0.393 0.607 0.312
Pd5 0.607 0.393 0.688
Pd6 0.734 0.266 0.918
Pd7 0.766 0.234 0.418
Pd8 0.893 0.107 0.188
Pt1 0.082 0.918 0.376
Pt2 0.418 0.582 0.876
Pt3 0.582 0.418 0.124
Pt4 0.918 0.082 0.624

***

Unit: kJ/mol of atoms. Relative energies: 1 0.0; 2 3.3.

***

1 | This record from the Alexandria database describes AlPd5Pt2 after structural relaxation. The functional is PBE.

Values from the calculation:
Magnetic moment in μB per formula unit: 0.00

Cell lengths 4.793, 4.793, 14.428 Å; angles 90.00, 90.00, 131.59 degrees
Sites, in units of the cell vectors:
Al1 0.151 0.849 0.750
Al2 0.849 0.151 0.250
Pd1 0.040 0.960 0.595
Pd2 0.040 0.960 0.905
Pd3 0.348 0.652 0.531
Pd4 0.348 0.652 0.969
Pd5 0.447 0.553 0.750
Pd6 0.553 0.447 0.250
Pd7 0.652 0.348 0.031
Pd8 0.652 0.348 0.469
Pd9 0.960 0.040 0.095
Pd10 0.960 0.040 0.405
Pt1 0.255 0.745 0.154
Pt2 0.255 0.745 0.346
Pt3 0.745 0.255 0.654
Pt4 0.745 0.255 0.846

***

2 | This record from the Alexandria database describes AlPd5Pt2 after structural relaxation. The functional is PBE.

Values from the calculation:
Magnetic moment in μB per formula unit: 0.00

Cell lengths 5.574, 11.155, 3.908 Å; angles 90.00, 90.00, 90.00 degrees
Sites, in units of the cell vectors:
Al1 0.000 0.000 0.000
Al2 0.500 0.500 0.000
Pd1 0.000 0.500 0.000
Pd2 0.001 0.244 0.000
Pd3 0.250 0.124 0.500
Pd4 0.250 0.624 0.500
Pd5 0.499 0.744 0.000
Pd6 0.500 0.000 0.000
Pd7 0.501 0.256 0.000
Pd8 0.750 0.376 0.500
Pd9 0.750 0.876 0.500
Pd10 0.999 0.756 0.000
Pt1 0.244 0.879 0.500
Pt2 0.256 0.379 0.500
Pt3 0.744 0.621 0.500
Pt4 0.756 0.121 0.500

***

Unit: kJ/mol of atoms. Relative energies: 1 2.4; 2 0.0.